1.
DFT (PBE) results for a relaxed structure of KZr2.

Geometry as CIF:
```
data_KZr2
_chemical_formula_sum 'K2 Zr4'
_cell_length_a 2.8179
_cell_length_b 10.0554
_cell_length_c 5.7699
_cell_angle_alpha 90.00
_cell_angle_beta 90.00
_cell_angle_gamma 90.00
_symmetry_space_group_name_H-M 'P n n m'
_symmetry_Int_Tables_number 58
loop_
_symmetry_equiv_pos_as_xyz
'x,y,z'
'-x,-y,-z'
'-x,-y,z'
'x,y,-z'
'x+1/2,-y+1/2,-z+1/2'
'-x+1/2,y+1/2,z+1/2'
'-x+1/2,y+1/2,-z+1/2'
'x+1/2,-y+1/2,z+1/2'
loop_
_atom_site_label
_atom_site_type_symbol
_atom_site_fract_x
_atom_site_fract_y
_atom_site_fract_z
K1 K 0.0000 0.0000 0.0000
Zr1 Zr 0.2407 0.3328 0.0000
```

---

2.
DFT (PBE) results for a relaxed structure of KZr.

Geometry as CIF:
```
data_KZr
_chemical_formula_sum 'K3 Zr3'
_cell_length_a 3.2297
_cell_length_b 3.2297
_cell_length_c 20.8364
_cell_angle_alpha 90.00
_cell_angle_beta 90.00
_cell_angle_gamma 120.00
_symmetry_space_group_name_H-M 'R -3 m'
_symmetry_Int_Tables_number 166
_symmetry_space_group_name_Hall '-R 3 2"'
loop_
_atom_site_label
_atom_site_type_symbol
_atom_site_fract_x
_atom_site_fract_y
_atom_site_fract_z
K1 K 0.0000 0.0000 0.0000
Zr1 Zr 0.0000 0.0000 0.5000
```

---

3.
DFT (PBE) results for a relaxed structure of K2Zr.

Geometry as CIF:
```
data_K2Zr
_chemical_formula_sum 'K8 Zr4'
_cell_length_a 6.5606
_cell_length_b 6.5606
_cell_length_c 13.2948
_cell_angle_alpha 90.00
_cell_angle_beta 90.00
_cell_angle_gamma 120.00
_symmetry_space_group_name_H-M 'P 63/m m c'
_symmetry_Int_Tables_number 194
_symmetry_space_group_name_Hall '-P 6c 2c'
loop_
_atom_site_label
_atom_site_type_symbol
_atom_site_fract_x
_atom_site_fract_y
_atom_site_fract_z
K1 K 0.0000 0.0000 0.0000
K2 K 0.1710 0.3419 0.2500
Zr1 Zr 0.3333 0.6667 0.5165
```

---

4.
DFT (PBE) results for a relaxed structure of K2Zr.

Geometry as CIF:
```
data_K2Zr
_chemical_formula_sum 'K8 Zr4'
_cell_length_a 10.2807
_cell_length_b 10.2807
_cell_length_c 5.3376
_cell_angle_alpha 90.00
_cell_angle_beta 90.00
_cell_angle_gamma 90.00
_symmetry_space_group_name_H-M 'I 4/m c m'
_symmetry_Int_Tables_number 140
_symmetry_space_group_name_Hall '-I 4 2c'
loop_
_atom_site_label
_atom_site_type_symbol
_atom_site_fract_x
_atom_site_fract_y
_atom_site_fract_z
K1 K 0.1583 0.3417 0.0000
Zr1 Zr 0.0000 0.0000 0.2500
```

---

5.
DFT (PBE) results for a relaxed structure of KZr.

Geometry as CIF:
```
data_KZr
_chemical_formula_sum 'K2 Zr2'
_cell_length_a 3.2050
_cell_length_b 3.2050
_cell_length_c 13.9598
_cell_angle_alpha 90.00
_cell_angle_beta 90.00
_cell_angle_gamma 120.00
_symmetry_space_group_name_H-M 'P 63 m c'
_symmetry_Int_Tables_number 186
_symmetry_space_group_name_Hall 'P 6c -2c'
loop_
_atom_site_label
_atom_site_type_symbol
_atom_site_fract_x
_atom_site_fract_y
_atom_site_fract_z
K1 K 0.3333 0.6667 0.0000
Zr1 Zr 0.3333 0.6667 0.2514
```

---

6.
DFT (PBE) results for a relaxed structure of KZr.

Geometry as CIF:
```
data_KZr
_chemical_formula_sum 'K4 Zr4'
_cell_length_a 8.8078
_cell_length_b 8.8078
_cell_length_c 8.8078
_cell_angle_alpha 90.00
_cell_angle_beta 90.00
_cell_angle_gamma 90.00
_symmetry_space_group_name_H-M 'F -4 3 m'
_symmetry_Int_Tables_number 216
_symmetry_space_group_name_Hall 'F -4 2 3'
loop_
_atom_site_label
_atom_site_type_symbol
_atom_site_fract_x
_atom_site_fract_y
_atom_site_fract_z
K1 K 0.0000 0.0000 0.0000
Zr1 Zr 0.2500 0.2500 0.7500
```

---

Number 1: ρ 4.50 Mg/m³, E -5.17 eV/atom, N(E_F) 10.6 states/eV/cell. Number 2: ρ 3.45 Mg/m³, E -3.96 eV/atom, N(E_F) 11.1 states/eV/cell. Number 3: ρ 2.27 Mg/m³, E -2.40 eV/atom, N(E_F) 12.7 states/eV/cell. Number 4: ρ 1.99 Mg/m³, E -2.80 eV/atom, N(E_F) 18.9 states/eV/cell. Number 5: ρ 3.49 Mg/m³, E -3.94 eV/atom, N(E_F) 8.3 states/eV/cell. Number 6: ρ 1.27 Mg/m³, E -2.23 eV/atom, N(E_F) 23.7 states/eV/cell.